Computed, not measured: an optimized crystal structure of YReAu3 at the GGA-PBE level of DFT.

VASP energy in eV per formula unit: -25.86
Energy above the most stable polymorph in this dataset in eV/f.u.: 0.00

Cell: 5.0087 5.0087 5.0087 Å, 90.00 90.00 90.00°
Fractional positions:
Y: 0.5000 0.5000 0.5000
Re: 0.0000 0.0000 0.0000
Au: 0.0000 0.5000 0.0000
Au: 0.0000 0.0000 0.5000
Au: 0.5000 0.0000 0.0000

***

Computed, not measured: an optimized crystal structure of CeMgP at the GGA-PBE level of DFT.

VASP energy in eV per formula unit: -14.41
Energy above the most stable polymorph in this dataset in eV/f.u.: 0.44

Cell: 3.4521 3.4521 6.2765 Å, 105.96 105.96 90.00°
Last column: magnetic moment on the atom in μB.
Fractional positions:
P: 0.6155 0.6155 0.2310  -0.04
Mg: 0.9826 0.9826 0.9652  0.00
Ce: 0.2519 0.2519 0.5038  0.72

***

Computed, not measured: an optimized crystal structure of BaNbH at the GGA-PBE level of DFT.

VASP energy in eV per formula unit: -13.58
Energy above the most stable polymorph in this dataset in eV/f.u.: 1.51

Cell: 3.2997 3.2997 12.4602 Å, 90.00 90.00 120.00°
Fractional positions:
H: 0.0000 0.0000 0.8763
H: 0.0000 0.0000 0.3763
Nb: 0.3333 0.6667 0.3148
Nb: 0.6667 0.3333 0.8148
Ba: 0.3333 0.6667 0.0589
Ba: 0.6667 0.3333 0.5589

***

Computed, not measured: an optimized crystal structure of Tb3MgSc3 at the GGA-PBE level of DFT.

VASP energy in eV per formula unit: -34.33

Cell: 5.3729 9.0961 9.0963 Å, 120.01 90.00 90.00°
Last column: magnetic moment on the atom in μB.
Fractional positions:
Tb: 0.2500 0.5345 0.6336  0.10
Tb: 0.2500 0.0990 0.4654  0.10
Tb: 0.2500 0.3663 0.9009  0.10
Tb: 0.7500 0.4655 0.3664  0.10
Tb: 0.7500 0.9010 0.5346  0.10
Tb: 0.7500 0.6337 0.0991  0.10
Mg: 0.7500 0.3334 0.6667  0.00
Mg: 0.2500 0.6666 0.3333  0.00
Sc: 0.7500 0.7716 0.8226  0.03
Sc: 0.7500 0.0511 0.2284  0.03
Sc: 0.7500 0.1774 0.9490  0.03
Sc: 0.2500 0.2284 0.1774  0.03
Sc: 0.2500 0.9489 0.7716  0.03
Sc: 0.2500 0.8226 0.0510  0.03

***

Computed, not measured: an optimized crystal structure of Rb2Ag2I5 at the GGA-PBE level of DFT.

VASP energy in eV per formula unit: -21.99
Formation energy from raw total energies in eV per atom: -0.73

Cell: 5.8784 8.3220 8.9310 Å, 106.27 90.00 110.68°
Fractional positions:
Rb: 0.3939 0.7879 0.7114
Rb: 0.6061 0.2121 0.2886
Ag: 0.1505 0.3010 0.8664
Ag: 0.8495 0.6990 0.1336
I: 0.3295 0.6591 0.1052
I: 0.6705 0.3409 0.8948
I: 0.1460 0.2920 0.5513
I: 0.8540 0.7080 0.4487
I: 0.0000 0.0000 0.0000

***

Computed, not measured: an optimized crystal structure of DyCo2Ge2 at the GGA-PBE level of DFT.

VASP energy in eV per formula unit: -31.12

Cell: 5.7914 5.7914 5.7914 Å, 140.11 140.11 57.68°
Fractional positions:
Dy: 0.0000 0.0000 0.0000
Co: 0.2500 0.7500 0.5000
Co: 0.7500 0.2500 0.5000
Ge: 0.6275 0.6275 0.0000
Ge: 0.3725 0.3725 0.0000

***

Computed, not measured: an optimized crystal structure of GaPPt3 at the GGA-PBE level of DFT.

VASP energy in eV per formula unit: -25.99
Energy above the most stable polymorph in this dataset in eV/f.u.: 0.00

Cell: 4.5470 4.5470 4.5470 Å, 90.00 90.00 90.00°
Fractional positions:
P: 0.0000 0.0000 0.0000
Ga: 0.5000 0.5000 0.5000
Pt: 0.0000 0.5000 0.0000
Pt: 0.0000 0.0000 0.5000
Pt: 0.5000 0.0000 0.0000

***

Computed, not measured: an optimized crystal structure of Zr2MnHg at the GGA-PBE level of DFT.

VASP energy in eV per formula unit: -26.55

Cell: 5.2909 5.2909 5.2909 Å, 132.12 132.11 70.05°
Last column: magnetic moment on the atom in μB.
Fractional positions:
Hg: 0.7500 0.2500 0.5000  -0.02
Mn: 0.2500 0.7500 0.5000  3.41
Zr: 0.0000 0.0000 0.0000  -0.27
Zr: 0.5000 0.5000 0.0000  -0.27